Record 1
TlCu2Tc GGA-PBEsol optimized geometry; VASP energy = -5.08 eV/atom; symmetry = No. 119; spin magnetization = 0.00 μB/cell; polymorph energy (0 for the lowest one) = 0.000 eV per atom
1.0
3.8361 0.0000 0.0000
0.0000 3.8361 0.0000
0.0000 0.0000 7.9802
Tl Cu Tc
2 4 2
Direct
0.0000 0.0000 0.0000
0.5000 0.5000 0.5000
0.0000 0.0000 0.5000
0.0000 0.5000 0.2500
0.5000 0.0000 0.7500
0.5000 0.5000 0.0000
0.0000 0.5000 0.7500
0.5000 0.0000 0.2500

=====

Record 2
Tl2CuTc GGA-PBEsol optimized geometry; VASP energy = -4.27 eV/atom; symmetry = No. 216; spin magnetization = 9.66 μB/cell; polymorph energy (0 for the lowest one) = 0.318 eV per atom
1.0
6.7095 0.0000 0.0000
0.0000 6.7095 0.0000
0.0000 0.0000 6.7095
Tl Cu Tc
8 4 4
Direct
0.0000 0.0000 0.0000
0.0000 0.5000 0.5000
0.2500 0.2500 0.2500
0.2500 0.7500 0.7500
0.5000 0.0000 0.5000
0.5000 0.5000 0.0000
0.7500 0.2500 0.7500
0.7500 0.7500 0.2500
0.0000 0.0000 0.5000
0.0000 0.5000 0.0000
0.5000 0.0000 0.0000
0.5000 0.5000 0.5000
0.2500 0.2500 0.7500
0.2500 0.7500 0.2500
0.7500 0.2500 0.2500
0.7500 0.7500 0.7500

=====

Record 3
TlCuTc2 GGA-PBEsol optimized geometry; VASP energy = -6.83 eV/atom; symmetry = No. 44; spin magnetization = 0.00 μB/cell
1.0
3.9885 0.0000 0.0000
0.0000 4.0717 0.0000
0.0000 0.0000 7.4125
Tl Cu Tc
2 2 4
Direct
0.0000 0.0000 0.0000
0.5000 0.5000 0.5000
0.0000 0.5000 0.7511
0.5000 0.0000 0.2511
0.0000 0.0000 0.5027
0.0000 0.5000 0.2471
0.5000 0.0000 0.7471
0.5000 0.5000 0.0027

=====

Record 4
TlCuTc GGA-PBEsol optimized geometry; VASP energy = -5.42 eV/atom; symmetry = No. 44; spin magnetization = 0.00 μB/cell; polymorph energy (0 for the lowest one) = 0.000 eV per atom
1.0
2.8269 0.0000 0.0000
0.0000 3.4402 0.0000
0.0000 0.0000 9.7579
Tl Cu Tc
2 2 2
Direct
0.0000 0.0000 0.0000
0.5000 0.5000 0.5000
0.0000 0.0000 0.6739
0.5000 0.5000 0.1739
0.0000 0.0000 0.3081
0.5000 0.5000 0.8081

=====

Record 5
TlCu2Tc GGA-PBEsol optimized geometry; VASP energy = -5.02 eV/atom; symmetry = No. 216; spin magnetization = 4.42 μB/cell; polymorph energy (0 for the lowest one) = 0.058 eV per atom
1.0
6.1998 0.0000 0.0000
0.0000 6.1998 0.0000
0.0000 0.0000 6.1998
Tl Cu Tc
4 8 4
Direct
0.0000 0.0000 0.0000
0.0000 0.5000 0.5000
0.5000 0.0000 0.5000
0.5000 0.5000 0.0000
0.0000 0.0000 0.5000
0.0000 0.5000 0.0000
0.2500 0.2500 0.2500
0.2500 0.7500 0.7500
0.5000 0.0000 0.0000
0.5000 0.5000 0.5000
0.7500 0.2500 0.7500
0.7500 0.7500 0.2500
0.2500 0.2500 0.7500
0.2500 0.7500 0.2500
0.7500 0.2500 0.2500
0.7500 0.7500 0.7500

=====

Record 6
TlCuTc GGA-PBEsol optimized geometry; VASP energy = -5.19 eV/atom; symmetry = No. 216; spin magnetization = 7.98 μB/cell; polymorph energy (0 for the lowest one) = 0.230 eV per atom
1.0
5.9568 0.0000 0.0000
0.0000 5.9568 0.0000
0.0000 0.0000 5.9568
Tl Cu Tc
4 4 4
Direct
0.0000 0.0000 0.0000
0.0000 0.5000 0.5000
0.5000 0.0000 0.5000
0.5000 0.5000 0.0000
0.2500 0.2500 0.7500
0.2500 0.7500 0.2500
0.7500 0.2500 0.2500
0.7500 0.7500 0.7500
0.0000 0.0000 0.5000
0.0000 0.5000 0.0000
0.5000 0.0000 0.0000
0.5000 0.5000 0.5000

=====

Record 7
Tl2CuTc GGA-PBEsol optimized geometry; VASP energy = -4.53 eV/atom; symmetry = No. 65; spin magnetization = 1.49 μB/cell; polymorph energy (0 for the lowest one) = 0.059 eV per atom
1.0
3.1377 0.0000 0.0000
0.0000 5.2770 0.0000
0.0000 0.0000 8.8970
Tl Cu Tc
4 2 2
Direct
0.0000 0.0000 0.2439
0.0000 0.0000 0.7561
0.5000 0.5000 0.2439
0.5000 0.5000 0.7561
0.0000 0.5000 0.0000
0.5000 0.0000 0.0000
0.0000 0.5000 0.5000
0.5000 0.0000 0.5000

=====

Record 8
TlCu2Tc GGA-PBEsol optimized geometry; VASP energy = -5.04 eV/atom; symmetry = No. 225; spin magnetization = 4.70 μB/cell; polymorph energy (0 for the lowest one) = 0.035 eV per atom
1.0
6.1485 0.0000 0.0000
0.0000 6.1485 0.0000
0.0000 0.0000 6.1485
Tl Cu Tc
4 8 4
Direct
0.0000 0.0000 0.0000
0.0000 0.5000 0.5000
0.5000 0.0000 0.5000
0.5000 0.5000 0.0000
0.2500 0.2500 0.2500
0.2500 0.2500 0.7500
0.2500 0.7500 0.2500
0.2500 0.7500 0.7500
0.7500 0.2500 0.2500
0.7500 0.2500 0.7500
0.7500 0.7500 0.2500
0.7500 0.7500 0.7500
0.0000 0.0000 0.5000
0.0000 0.5000 0.0000
0.5000 0.0000 0.0000
0.5000 0.5000 0.5000

=====

Record 9
Tl2CuTc GGA-PBEsol optimized geometry; VASP energy = -4.58 eV/atom; symmetry = No. 123; spin magnetization = 0.01 μB/cell; polymorph energy (0 for the lowest one) = 0.000 eV per atom
1.0
3.3931 0.0000 0.0000
0.0000 3.3931 0.0000
0.0000 0.0000 6.1038
Tl Cu Tc
2 1 1
Direct
0.0000 0.0000 0.2490
0.0000 0.0000 0.7510
0.5000 0.5000 0.0000
0.5000 0.5000 0.5000

=====

Record 10
Tm2CuTc GGA-PBEsol optimized geometry; VASP energy = -6.48 eV/atom; symmetry = No. 225; spin magnetization = 0.00 μB/cell
1.0
6.6704 0.0000 0.0000
0.0000 6.6704 0.0000
0.0000 0.0000 6.6704
Tm Cu Tc
8 4 4
Direct
0.2500 0.2500 0.2500
0.2500 0.2500 0.7500
0.2500 0.7500 0.2500
0.2500 0.7500 0.7500
0.7500 0.2500 0.2500
0.7500 0.2500 0.7500
0.7500 0.7500 0.2500
0.7500 0.7500 0.7500
0.0000 0.0000 0.0000
0.0000 0.5000 0.5000
0.5000 0.0000 0.5000
0.5000 0.5000 0.0000
0.0000 0.0000 0.5000
0.0000 0.5000 0.0000
0.5000 0.0000 0.0000
0.5000 0.5000 0.5000

=====

Record 11
Cu2TcW GGA-PBEsol optimized geometry; VASP energy = -8.19 eV/atom; symmetry = No. 44; spin magnetization = 0.00 μB/cell; polymorph energy (0 for the lowest one) = 0.008 eV per atom
1.0
3.6380 0.0000 0.0000
0.0000 3.8308 0.0000
0.0000 0.0000 7.5371
Cu Tc W
4 2 2
Direct
0.0000 0.0000 0.0000
0.0000 0.5000 0.2575
0.5000 0.0000 0.7575
0.5000 0.5000 0.5000
0.0000 0.5000 0.7526
0.5000 0.0000 0.2526
0.0000 0.0000 0.5049
0.5000 0.5000 0.0049

=====

Record 12
CuTcW GGA-PBEsol optimized geometry; VASP energy = -8.77 eV/atom; symmetry = No. 216; spin magnetization = 0.00 μB/cell
1.0
5.6841 0.0000 0.0000
0.0000 5.6841 0.0000
0.0000 0.0000 5.6841
Cu Tc W
4 4 4
Direct
0.0000 0.0000 0.0000
0.0000 0.5000 0.5000
0.5000 0.0000 0.5000
0.5000 0.5000 0.0000
0.2500 0.2500 0.7500
0.2500 0.7500 0.2500
0.7500 0.2500 0.2500
0.7500 0.7500 0.7500
0.2500 0.2500 0.2500
0.2500 0.7500 0.7500
0.7500 0.2500 0.7500
0.7500 0.7500 0.2500

=====

Record 13
Cu2TcW GGA-PBEsol optimized geometry; VASP energy = -8.17 eV/atom; symmetry = No. 99; spin magnetization = 0.00 μB/cell; polymorph energy (0 for the lowest one) = 0.035 eV per atom
1.0
2.6240 0.0000 0.0000
0.0000 2.6240 0.0000
0.0000 0.0000 7.6357
Cu Tc W
2 1 1
Direct
0.0000 0.0000 0.0000
0.5000 0.5000 0.2204
0.0000 0.0000 0.4631
0.5000 0.5000 0.7485

=====

Record 14
Cu2TcW GGA-PBEsol optimized geometry; VASP energy = -8.16 eV/atom; symmetry = No. 25; spin magnetization = 0.00 μB/cell; polymorph energy (0 for the lowest one) = 0.040 eV per atom
1.0
2.5910 0.0000 0.0000
0.0000 3.8672 0.0000
0.0000 0.0000 5.3190
Cu Tc W
2 1 1
Direct
0.0000 0.0000 0.0000
0.5000 0.5000 0.2222
0.0000 0.0000 0.4842
0.5000 0.5000 0.7368

=====

Record 15
Cu2TcW GGA-PBEsol optimized geometry; VASP energy = -8.13 eV/atom; symmetry = No. 12; spin magnetization = 0.00 μB/cell; polymorph energy (0 for the lowest one) = 0.077 eV per atom
1.0
9.0045 0.0000 0.0000
0.0000 2.6588 0.0000
-0.7930 0.0000 4.4650
Cu Tc W
4 2 2
Direct
0.2487 0.0000 0.2493
0.2513 0.5000 0.7507
0.7487 0.5000 0.2493
0.7513 0.0000 0.7507
0.0000 0.5000 0.0000
0.5000 0.0000 0.0000
0.0000 0.0000 0.5000
0.5000 0.5000 0.5000

=====

Record 16
Cu2TcW GGA-PBEsol optimized geometry; VASP energy = -8.06 eV/atom; symmetry = No. 216; spin magnetization = 0.00 μB/cell; polymorph energy (0 for the lowest one) = 0.143 eV per atom
1.0
5.9886 0.0000 0.0000
0.0000 5.9886 0.0000
0.0000 0.0000 5.9886
Cu Tc W
8 4 4
Direct
0.0000 0.0000 0.0000
0.0000 0.5000 0.5000
0.2500 0.2500 0.2500
0.2500 0.7500 0.7500
0.5000 0.0000 0.5000
0.5000 0.5000 0.0000
0.7500 0.2500 0.7500
0.7500 0.7500 0.2500
0.2500 0.2500 0.7500
0.2500 0.7500 0.2500
0.7500 0.2500 0.2500
0.7500 0.7500 0.7500
0.0000 0.0000 0.5000
0.0000 0.5000 0.0000
0.5000 0.0000 0.0000
0.5000 0.5000 0.5000

=====

Record 17
Cu2TcW GGA-PBEsol optimized geometry; VASP energy = -8.20 eV/atom; symmetry = No. 35; spin magnetization = 0.00 μB/cell; polymorph energy (0 for the lowest one) = 0.007 eV per atom
1.0
3.1143 0.0000 0.0000
0.0000 4.1780 0.0000
0.0000 0.0000 8.2381
Cu Tc W
4 2 2
Direct
0.0000 0.0000 0.0000
0.0000 0.5000 0.2289
0.5000 0.0000 0.2289
0.5000 0.5000 0.0000
0.0000 0.5000 0.7490
0.5000 0.0000 0.7490
0.0000 0.0000 0.4846
0.5000 0.5000 0.4846

=====

Record 18
Cu2TcW GGA-PBEsol optimized geometry; VASP energy = -8.20 eV/atom; symmetry = No. 123; spin magnetization = 0.00 μB/cell; polymorph energy (0 for the lowest one) = 0.000 eV per atom
1.0
3.6141 0.0000 0.0000
0.0000 3.6141 0.0000
0.0000 0.0000 4.0136
Cu Tc W
2 1 1
Direct
0.0000 0.5000 0.0000
0.5000 0.0000 0.0000
0.0000 0.0000 0.5000
0.5000 0.5000 0.5000

=====

Record 19
Cu2TcW GGA-PBEsol optimized geometry; VASP energy = -8.17 eV/atom; symmetry = No. 8; spin magnetization = 0.00 μB/cell; polymorph energy (0 for the lowest one) = 0.035 eV per atom
1.0
8.8409 0.0000 0.0000
0.0000 2.5500 0.0000
-0.5850 0.0000 4.7046
Cu Tc W
4 2 2
Direct
0.0000 0.0000 0.0000
0.2456 0.5000 0.2222
0.5000 0.5000 0.0000
0.7456 0.0000 0.2222
0.2544 0.0000 0.7335
0.7544 0.5000 0.7335
0.4935 0.0000 0.4888
0.9935 0.5000 0.4888

=====

Record 20
YCu2Tc GGA-PBEsol optimized geometry; VASP energy = -6.44 eV/atom; symmetry = No. 119; spin magnetization = 0.00 μB/cell; polymorph energy (0 for the lowest one) = 0.053 eV per atom
1.0
3.8586 0.0000 0.0000
0.0000 3.8586 0.0000
0.0000 0.0000 8.3391
Y Cu Tc
2 4 2
Direct
0.0000 0.0000 0.0000
0.5000 0.5000 0.5000
0.0000 0.0000 0.5000
0.0000 0.5000 0.2500
0.5000 0.0000 0.7500
0.5000 0.5000 0.0000
0.0000 0.5000 0.7500
0.5000 0.0000 0.2500